(1)
A plane-wave DFT calculation with PBE was carried out for crystalline SiNiIr2 at its relaxed geometry.

Output
The calculation puts the formation energy (no corrections) at 0.036 eV per atom. Its density of states at the Fermi level is 1.097 states/eV per atom. The raw total energy comes out at -28.78 eV/cell.

```
SiNiIr2
1.0
-0.598 -1.085 2.436
1.685 -1.333 -1.690
6.538 3.979 3.378
Ir Ni Si
2 1 1
Cartesian
6.358 3.870 3.285
2.256 -0.166 1.258
3.443 2.096 1.779
5.374 1.731 2.869
```

---

(2)
A plane-wave DFT calculation with PBE was carried out for crystalline NdLuGaGe at its relaxed geometry.

Output
Its energy of formation from the pure elements is -0.5388 eV/atom. Its density of states at the Fermi level is 0.661 states/eV per atom. The raw total energy comes out at -19.09 eV/cell.

```
NdLuGaGe
1.0
5.097 0.000 0.000
2.549 4.414 0.000
2.549 1.471 4.162
Ge Lu Nd Ga
1 1 1 1
Cartesian
7.646 4.414 3.121
0.000 0.000 0.000
5.097 2.943 2.081
2.549 1.471 1.040
```

---

(3)
A plane-wave DFT calculation with PBE was carried out for crystalline Ce2ZrBi2N2 at its relaxed geometry.

Output
The calculation puts the formation energy (no corrections) at -1.019 eV per atom. Its density of states at the Fermi level is 1.095 states/eV per atom. The raw total energy comes out at -51.96 eV/cell.

```
Ce2ZrBi2N2
1.0
4.317 0.000 0.000
0.000 4.317 0.000
-2.159 -2.159 8.221
Ce Zr Bi N
2 1 2 2
Cartesian
0.000 0.000 6.624
2.159 2.159 1.597
0.000 0.000 0.000
0.000 0.000 3.136
2.159 2.159 5.085
0.000 2.159 0.000
2.159 0.000 0.000
```